The following is a DFT calculation (PBE) of VCrSiW after structural relaxation.

Cell lengths 4.224, 4.224, 4.224 Å; angles 60.00, 60.00, 60.00 degrees
Last column: magnetic moment on the atom in μB.
Fractional coordinates of all 4 atoms:
W (0.250, 0.250, 0.250)  -0.17
Si (0.750, 0.750, 0.750)  -0.02
Cr (0.000, 0.000, 0.000)  0.75
V (0.500, 0.500, 0.500)  0.87

Results
Formation energy (no corrections) (eV per atom): -0.123
Crystal system: cubic
Space-group type: No. 216